Material: CsBi2Pb2
Method: DFT, meta-GGA SCAN
State: single point on PBEsol structure

E above lowest polymorph = 0.00 eV/f.u.
Symmetry = I4/mmm (139)
Energy relative to the elements = -0.283 eV/atom
Magnetic moment = 0.0 μB per formula unit
Density of states at the Fermi level = 2.31 states/eV/f.u.
Total energy = -69.589 eV/atom

Cell: 5.3926 5.3926 7.7502 Å, 110.36 110.36 90.00°
With the nearest neighbours (Å) after each atom.
Atoms (fractional coordinates):
1 Pb 0.2500 0.7500 0.5000  4 Bi 3.22
2 Pb 0.7500 0.2500 0.5000  4 Bi 3.22
3 Cs 0.0000 0.0000 0.0000  8 Bi 4.14, 8 Pb 4.32
4 Bi 0.3800 0.3800 0.7600  4 Pb 3.22, 1 Bi 3.24
5 Bi 0.6200 0.6200 0.2400  4 Pb 3.22, 1 Bi 3.24